## Cs3Zn2HgF9 (PBE-GGA)

Data for a geometry-optimized Cs3Zn2HgF9 structure. Values from VASP.

Results
Its space group is P-3m1 (164). As for the total DFT energy (no corrections): -0.281 Ry per atom.

Geometry as Quantum ESPRESSO input:
```
&SYSTEM
  ibrav = 0, nat = 15, ntyp = 4
/
ATOMIC_SPECIES
Cs 132.91 Cs.upf
Zn 65.41 Zn.upf
Hg 200.59 Hg.upf
F 19.00 F.upf
ATOMIC_POSITIONS crystal
Cs 0.3333 0.6667 0.6661
Cs 0.0000 0.0000 0.0000
Cs 0.6667 0.3333 0.3339
Zn 0.3333 0.6667 0.1533
Zn 0.6667 0.3333 0.8467
Hg 0.0000 0.0000 0.5000
F 0.8228 0.1772 0.6835
F 0.8228 0.6455 0.6835
F 0.3545 0.1772 0.6835
F 0.6455 0.8228 0.3165
F 0.1772 0.3545 0.3165
F 0.1772 0.8228 0.3165
F 0.5000 0.0000 0.0000
F 0.0000 0.5000 0.0000
F 0.5000 0.5000 0.0000
CELL_PARAMETERS angstrom
-4.9356 3.5445 -1.3207
1.0178 -5.2313 -3.2041
-4.1721 -3.9192 5.0735
```

## Cs2Zn3HgF12 (PBE-GGA)

Data for a geometry-optimized Cs2Zn3HgF12 structure. Values from VASP.

Results
Its space group is R-3m (166). As for the total DFT energy (no corrections): -0.269 Ry per atom.

Geometry as Quantum ESPRESSO input:
```
&SYSTEM
  ibrav = 0, nat = 18, ntyp = 4
/
ATOMIC_SPECIES
Cs 132.91 Cs.upf
Zn 65.41 Zn.upf
Hg 200.59 Hg.upf
F 19.00 F.upf
ATOMIC_POSITIONS crystal
Cs 0.6141 0.6141 0.6141
Cs 0.3859 0.3859 0.3859
Zn 0.5000 0.0000 0.0000
Zn 0.0000 0.5000 0.0000
Zn 0.0000 0.0000 0.5000
Hg 0.0000 0.0000 0.0000
F 0.3084 0.3084 0.9198
F 0.9130 0.9130 0.3528
F 0.3528 0.9130 0.9130
F 0.9198 0.3084 0.3084
F 0.9130 0.3528 0.9130
F 0.3084 0.9198 0.3084
F 0.6916 0.6916 0.0802
F 0.0870 0.0870 0.6472
F 0.6472 0.0870 0.0870
F 0.0802 0.6916 0.6916
F 0.0870 0.6472 0.0870
F 0.6916 0.0802 0.6916
CELL_PARAMETERS angstrom
7.6930 0.1340 0.0951
3.9158 6.6233 0.0951
3.9158 2.2793 6.2194
```

## Cs2ZnHg3F12 (PBE-GGA)

Data for a geometry-optimized Cs2ZnHg3F12 structure. Values from VASP.

Results
Its space group is R-3m (166). As for the total DFT energy (no corrections): -0.239 Ry per atom.

Geometry as Quantum ESPRESSO input:
```
&SYSTEM
  ibrav = 0, nat = 18, ntyp = 4
/
ATOMIC_SPECIES
Cs 132.91 Cs.upf
Zn 65.41 Zn.upf
Hg 200.59 Hg.upf
F 19.00 F.upf
ATOMIC_POSITIONS crystal
Cs 0.6403 0.6403 0.6403
Cs 0.3597 0.3597 0.3597
Zn 0.0000 0.0000 0.0000
Hg 0.5000 0.0000 0.0000
Hg 0.0000 0.5000 0.0000
Hg 0.0000 0.0000 0.5000
F 0.3395 0.3395 0.9384
F 0.9361 0.9361 0.2972
F 0.2972 0.9361 0.9361
F 0.9384 0.3395 0.3395
F 0.9361 0.2972 0.9361
F 0.3395 0.9384 0.3395
F 0.6605 0.6605 0.0616
F 0.0639 0.0639 0.7028
F 0.7028 0.0639 0.0639
F 0.0616 0.6605 0.6605
F 0.0639 0.7028 0.0639
F 0.6605 0.0616 0.6605
CELL_PARAMETERS angstrom
7.9015 -0.0798 -0.0566
3.8328 6.9101 -0.0566
3.8328 2.2310 6.5403
```

## CsZnHgF6 (PBE-GGA)

Data for a geometry-optimized CsZnHgF6 structure. Values from VASP.

Results
Its space group is Imma (74). As for the total DFT energy (no corrections): -0.254 Ry per atom.

Geometry as Quantum ESPRESSO input:
```
&SYSTEM
  ibrav = 0, nat = 18, ntyp = 4
/
ATOMIC_SPECIES
Cs 132.91 Cs.upf
Zn 65.41 Zn.upf
Hg 200.59 Hg.upf
F 19.00 F.upf
ATOMIC_POSITIONS crystal
Cs 0.9013 0.6513 0.8026
Cs 0.0987 0.3487 0.1974
Zn 0.5000 0.0000 0.5000
Zn 0.0000 0.0000 0.5000
Hg 0.5000 0.5000 0.0000
Hg 0.5000 0.0000 0.0000
F 0.4009 0.6509 0.8018
F 0.7930 0.0430 0.5859
F 0.8435 0.0502 0.2413
F 0.3978 0.6912 0.2413
F 0.3978 0.0502 0.2413
F 0.8435 0.6912 0.2413
F 0.5991 0.3491 0.1982
F 0.2070 0.9570 0.4141
F 0.1565 0.9498 0.7587
F 0.6022 0.3088 0.7587
F 0.6022 0.9498 0.7587
F 0.1565 0.3088 0.7587
CELL_PARAMETERS angstrom
7.6588 0.0000 0.0000
0.0000 8.0423 0.0000
-3.8294 -4.0211 5.4203
```

## CsZrHg2F8 (PBE-GGA)

Data for a geometry-optimized CsZrHg2F8 structure. Values from VASP.

Results
Its space group is R-3m (166). As for the total DFT energy (no corrections): -0.330 Ry per atom.

Geometry as Quantum ESPRESSO input:
```
&SYSTEM
  ibrav = 0, nat = 12, ntyp = 4
/
ATOMIC_SPECIES
Cs 132.91 Cs.upf
Zr 91.22 Zr.upf
Hg 200.59 Hg.upf
F 19.00 F.upf
ATOMIC_POSITIONS crystal
Cs 0.0000 0.0000 0.0000
Zr 0.5000 0.5000 0.5000
Hg 0.7965 0.7965 0.6104
Hg 0.2035 0.2035 0.3896
F 0.7028 0.7028 0.8916
F 0.2972 0.2972 0.1084
F 0.7116 0.2240 0.3529
F 0.7760 0.2884 0.6471
F 0.2885 0.7760 0.6471
F 0.2240 0.7115 0.3529
F 0.7115 0.7116 0.3529
F 0.2884 0.2885 0.6471
CELL_PARAMETERS angstrom
-3.8794 -3.2018 3.5248
1.3020 -5.8104 1.5065
2.7205 -0.6187 7.7836
```

## Cs2HoF6 (PBE-GGA)

Data for a geometry-optimized Cs2HoF6 structure. Values from VASP.

Results
Its space group is C2/m (12). As for the total DFT energy (no corrections): -0.368 Ry per atom.

Geometry as Quantum ESPRESSO input:
```
&SYSTEM
  ibrav = 0, nat = 9, ntyp = 3
/
ATOMIC_SPECIES
Cs 132.91 Cs.upf
Ho 164.93 Ho.upf
F 19.00 F.upf
ATOMIC_POSITIONS crystal
Cs 0.6564 0.6674 0.3349
Cs 0.3436 0.3326 0.6651
Ho 0.0000 0.0000 0.0000
F 0.1257 0.3284 0.2577
F 0.8743 0.0707 0.7423
F 0.8743 0.6716 0.7423
F 0.5000 0.1761 0.0000
F 0.1257 0.9293 0.2577
F 0.5000 0.8239 0.0000
CELL_PARAMETERS angstrom
-2.2005 3.3713 -0.6621
-2.5009 -2.8055 -5.9738
-3.0158 -2.5118 6.6114
```

## CsHoF4 (PBE-GGA)

Data for a geometry-optimized CsHoF4 structure. Values from VASP.

Results
Its space group is Cmcm (63). As for the total DFT energy (no corrections): -0.432 Ry per atom. The relative energy among the computed polymorphs comes out at 0.0 meV per atom.

Geometry as Quantum ESPRESSO input:
```
&SYSTEM
  ibrav = 0, nat = 12, ntyp = 3
/
ATOMIC_SPECIES
Cs 132.91 Cs.upf
Ho 164.93 Ho.upf
F 19.00 F.upf
ATOMIC_POSITIONS crystal
Cs 0.3149 0.7500 0.6298
Cs 0.6851 0.2500 0.3702
Ho 0.0789 0.7500 0.1578
Ho 0.9211 0.2500 0.8422
F 0.1654 0.5380 0.3307
F 0.8346 0.4620 0.6693
F 0.1654 0.9620 0.3307
F 0.8346 0.0380 0.6693
F 0.5733 0.7500 0.1465
F 0.4267 0.2500 0.8535
F 0.0000 0.5000 0.0000
F 0.0000 0.0000 0.0000
CELL_PARAMETERS angstrom
4.1833 0.0000 -1.4311
0.0000 6.8111 0.0000
0.8432 0.0000 9.2947
```

## Cs3Ho2F9 (PBE-GGA)

Data for a geometry-optimized Cs3Ho2F9 structure. Values from VASP.

Results
Its space group is R-3c (167). As for the total DFT energy (no corrections): -0.410 Ry per atom.

Geometry as Quantum ESPRESSO input:
```
&SYSTEM
  ibrav = 0, nat = 28, ntyp = 3
/
ATOMIC_SPECIES
Cs 132.91 Cs.upf
Ho 164.93 Ho.upf
F 19.00 F.upf
ATOMIC_POSITIONS crystal
Cs 0.4137 0.7500 0.0863
Cs 0.2500 0.9137 0.5863
Cs 0.9137 0.5863 0.2500
Cs 0.0863 0.4137 0.7500
Cs 0.7500 0.0863 0.4137
Cs 0.5863 0.2500 0.9137
Ho 0.1406 0.1406 0.1406
Ho 0.6406 0.6406 0.6406
Ho 0.8594 0.8594 0.8594
Ho 0.3594 0.3594 0.3594
F 0.7453 0.9238 0.0747
F 0.0762 0.9253 0.2547
F 0.2500 0.3830 0.1170
F 0.5762 0.7547 0.4253
F 0.6170 0.8830 0.7500
F 0.8830 0.7500 0.6170
F 0.2453 0.5747 0.4238
F 0.5747 0.4238 0.2453
F 0.9253 0.2547 0.0762
F 0.0747 0.7453 0.9238
F 0.4253 0.5762 0.7547
F 0.3830 0.1170 0.2500
F 0.7547 0.4253 0.5762
F 0.1170 0.2500 0.3830
F 0.4238 0.2453 0.5747
F 0.7500 0.6170 0.8830
F 0.9238 0.0747 0.7453
F 0.2547 0.0762 0.9253
CELL_PARAMETERS angstrom
-8.0834 1.1787 -2.1463
-2.2062 -7.6342 2.8617
-1.9139 3.0624 7.6352
```

Among the records above, which one has the lowest total DFT energy (no corrections)?
CsHoF4

Look up the total DFT energy (no corrections) of the eighth one.
-0.410 Ry per atom